Computed, not measured: crystalline UGaPd3 at its relaxed geometry at the PBE level of DFT.

space-group type: P2_1/c
ΔE_f: -0.39 eV/atom
spin magnetization: 2.11 μB/f.u.

Geometry as extended XYZ:
```
20
Lattice="7.306 0.000 0.000 0.000 6.355 0.000 -6.540 0.000 7.801" Properties=species:S:1:pos:R:3 pbc="T T T"
U 1.162 1.344 0.318
U -2.108 1.833 4.218
U 2.873 4.522 3.583
U -0.397 5.011 7.483
Ga -3.183 3.629 6.589
Ga 0.087 5.904 2.688
Ga 0.679 0.451 5.113
Ga 3.949 2.726 1.212
Pd -1.607 4.035 2.561
Pd -4.877 5.498 6.461
Pd 1.133 4.081 1.107
Pd -2.137 5.451 5.007
Pd -2.802 1.068 6.919
Pd 0.468 2.110 3.019
Pd 0.298 4.245 4.782
Pd 3.568 5.288 0.882
Pd 2.903 0.904 2.794
Pd -0.367 2.274 6.694
Pd 5.642 0.857 1.340
Pd 2.372 2.320 5.240
```

Computed, not measured: crystalline TlIrRuSe2 at its relaxed geometry at the PBE level of DFT.

space-group type: P4/mmm
uncorrected formation energy: 1108 meV per atom
E above lowest polymorph: 0.339 eV per atom
spin magnetization: 0.74 μB/f.u.

Geometry as extended XYZ:
```
5
Lattice="4.708 0.000 0.000 0.000 4.708 0.000 0.000 0.000 5.280" Properties=species:S:1:pos:R:3 pbc="T T T"
Tl 0.000 0.000 0.000
Ir 2.354 2.354 0.000
Ru 0.000 0.000 2.640
Se 0.000 2.354 2.640
Se 2.354 0.000 2.640
```

Computed, not measured: crystalline TiGeMo at its relaxed geometry at the PBE level of DFT.

space-group type: C2/m
ΔE_f: -0.30 eV/atom
spin magnetization: 0.00 μB/f.u.

Geometry as extended XYZ:
```
12
Lattice="9.939 0.000 0.000 0.000 3.345 0.000 -3.510 0.000 5.863" Properties=species:S:1:pos:R:3 pbc="T T T"
Ti -0.450 0.000 1.711
Ti 1.910 1.673 4.151
Ti 4.519 1.673 1.711
Ti 6.880 0.000 4.151
Ge -0.832 1.673 3.819
Ge 2.292 0.000 2.043
Ge 4.138 0.000 3.819
Ge 7.262 1.673 2.043
Mo 1.441 1.673 0.340
Mo 0.019 0.000 5.523
Mo 6.410 0.000 0.340
Mo 4.989 1.673 5.523
```